No. 1
This record from Alexandria describes a relaxed AgSbPt crystal. The functional is PBE.

E_form (uncorrected) = -0.18 eV/atom

Lattice parameters (Å, degrees): 4.507 4.507 4.507 60.00 60.00 60.00
Positions (direct):
1 Ag 0.000 0.000 0.000
2 Sb 0.500 0.500 0.500
3 Pt 0.750 0.750 0.750



No. 2
This record from Alexandria describes a relaxed Ta5Ti2Re crystal. The functional is PBE.

E_form = -0.08 eV/atom

Lattice parameters (Å, degrees): 6.632 13.018 3.223 90.00 90.00 90.00
Positions (direct):
1 Ta 0.000 0.000 0.000
2 Ta 0.007 0.244 0.000
3 Ta 0.243 0.378 0.500
4 Ta 0.257 0.878 0.500
5 Ta 0.493 0.744 0.000
6 Ta 0.500 0.500 0.000
7 Ta 0.507 0.256 0.000
8 Ta 0.743 0.122 0.500
9 Ta 0.757 0.622 0.500
10 Ta 0.993 0.756 0.000
11 Ti 0.229 0.618 0.500
12 Ti 0.271 0.118 0.500
13 Ti 0.729 0.882 0.500
14 Ti 0.771 0.382 0.500
15 Re 0.000 0.500 0.000
16 Re 0.500 0.000 0.000